1.
Crystalline Er2ThAl2Zn2 at its relaxed geometry. Source: Alexandria via LeMat-Bulk, functional PBE.

As for the density of states at the Fermi level: 0.536 states/eV per atom. The calculation puts the total magnetization at 0.00 μB per atom. For the formation energy, the calculation gives -1.91 eV/f.u.

The structure belongs to space group R-3m (No. 166, hexagonal axes); the cell edges are 4.4623, 4.4623 and 28.2312 Å and the angles 90.00°, 90.00° and 120.00°. Symmetry generates all atoms from Er at (0.0000, 0.0000, 0.1291), Th at (0.0000, 0.0000, 0.0000), Al at (0.0000, 0.0000, 0.2594) and Zn at (0.0000, 0.0000, 0.4026).

***

2.
Crystalline ErThAl2Zn2 at its relaxed geometry. Source: Alexandria via LeMat-Bulk, functional PBE.

As for the density of states at the Fermi level: 0.652 states/eV per atom. The calculation puts the total magnetization at 0.00 μB per atom. For the formation energy, the calculation gives -2.49 eV/f.u.

The structure belongs to space group P-3m1 (No. 164); the cell edges are 4.4769, 4.4769 and 7.3728 Å and the angles 90.00°, 90.00° and 120.00°. Symmetry generates all atoms from Er at (0.0000, 0.0000, 0.0000), Th at (0.0000, 0.0000, 0.5000), Al at (0.3333, 0.6667, 0.2326) and Zn at (0.3333, 0.6667, 0.7754).

***

3.
Crystalline ErThAlZn at its relaxed geometry. Source: Alexandria via LeMat-Bulk, functional PBE.

As for the density of states at the Fermi level: 0.196 states/eV per atom. The calculation puts the total magnetization at 0.00 μB per atom. For the formation energy, the calculation gives -1.18 eV/f.u.

The structure belongs to space group F-43m (No. 216); the cell edges are 7.2666, 7.2666 and 7.2666 Å and the angles 90.00°, 90.00° and 90.00°. Symmetry generates all atoms from Er at (0.0000, 0.0000, 0.0000), Th at (0.0000, 0.0000, 0.5000), Al at (0.2500, 0.2500, 0.2500) and Zn at (0.2500, 0.2500, 0.7500).

***

4.
Crystalline Er2TiAl3 at its relaxed geometry. Source: Alexandria via LeMat-Bulk, functional PBE.

As for the density of states at the Fermi level: 0.579 states/eV per atom. The calculation puts the total magnetization at 0.00 μB per atom. For the formation energy, the calculation gives -2.67 eV/f.u.

The structure belongs to space group R-3m (No. 166, hexagonal axes); the cell edges are 5.6372, 5.6372 and 13.4645 Å and the angles 90.00°, 90.00° and 120.00°. Symmetry generates all atoms from Er at (0.0000, 0.0000, 0.1280), Ti at (0.0000, 0.0000, 0.5000) and Al at (0.0000, 0.5000, 0.0000).

***

5.
Crystalline ErTi2Al at its relaxed geometry. Source: Alexandria via LeMat-Bulk, functional PBE.

As for the density of states at the Fermi level: 0.964 states/eV per atom. The calculation puts the total magnetization at 0.00 μB per atom. For the formation energy, the calculation gives -0.33 eV/f.u.

The structure belongs to space group P4/mmm (No. 123); the cell edges are 4.2810, 4.2810 and 4.2331 Å and the angles 90.00°, 90.00° and 90.00°. Symmetry generates all atoms from Er at (0.0000, 0.0000, 0.0000), Ti at (0.0000, 0.5000, 0.5000) and Al at (0.5000, 0.5000, 0.0000).

***

6.
Crystalline ErTi2Al5 at its relaxed geometry. Source: Alexandria via LeMat-Bulk, functional PBE.

As for the density of states at the Fermi level: 0.756 states/eV per atom. The calculation puts the total magnetization at 0.00 μB per atom. For the formation energy, the calculation gives -1.80 eV/f.u.

The structure belongs to space group Immm (No. 71); the cell edges are 3.9003, 6.2216 and 12.4877 Å and the angles 90.00°, 90.00° and 90.00°. Symmetry generates all atoms from Er at (0.0000, 0.0000, 0.0000), Ti at (0.0000, 0.5000, 0.2233), Al at (0.0000, 0.2181, 0.3858) and Al at (0.0000, 0.5000, 0.0000).

***

7.
Crystalline Er2TiAl at its relaxed geometry. Source: Alexandria via LeMat-Bulk, functional PBE.

As for the density of states at the Fermi level: 1.286 states/eV per atom. Its energy above the lowest structure with this stoichiometry is 24 meV per atom. The calculation puts the total magnetization at 0.64 μB per atom. For the formation energy, the calculation gives -0.24 eV/f.u.

The structure belongs to space group Fm-3m (No. 225); the cell edges are 7.2133, 7.2133 and 7.2133 Å and the angles 90.00°, 90.00° and 90.00°. Symmetry generates all atoms from Er at (0.2500, 0.2500, 0.2500), Ti at (0.0000, 0.0000, 0.0000) and Al at (0.0000, 0.0000, 0.5000).

***

8.
Crystalline ErTiAl3 at its relaxed geometry. Source: Alexandria via LeMat-Bulk, functional PBE.

As for the density of states at the Fermi level: 0.819 states/eV per atom. The calculation puts the total magnetization at 0.00 μB per atom. For the formation energy, the calculation gives -0.62 eV/f.u.

The structure belongs to space group I4mm (No. 107); the cell edges are 4.0457, 4.0457 and 12.4441 Å and the angles 90.00°, 90.00° and 90.00°. Symmetry generates all atoms from Er at (0.0000, 0.0000, 0.0000), Ti at (0.0000, 0.0000, 0.6325), Al at (0.0000, 0.0000, 0.4243) and Al at (0.0000, 0.5000, 0.2764).